6
Lattice="1.926 -4.633 0.000 1.926 4.633 0.000 0.000 0.000 4.032" Properties=species:S:1:pos:R:3 comment="DyF5 (PBE, relaxed)" mass_density_g_cm3=5.94 total_energy_ev_per_cell=-28.7 total_magnetization_mub_per_atom=0.333 pbc="T T T"
Dy 0.000 0.000 0.000
F 1.926 3.380 2.016
F 1.926 1.287 0.000
F 1.926 0.000 2.016
F 1.926 -1.287 0.000
F 1.926 -3.380 2.016